[1]
Density functional theory data (PBE) for a relaxed structure of Ac4Tl5Rh2.

Cell and atoms, written as POSCAR:
```
Ac4Tl5Rh2
1.0
8.2955 0.0000 0.0000
0.0000 4.0420 0.0000
-0.6481 0.0000 10.0919
Ac Tl Rh
4 5 2
direct
0.1859 0.0000 0.3422
0.2149 0.0000 0.9330
0.7851 0.0000 0.0670
0.8141 0.0000 0.6578
0.1595 0.5000 0.6414
0.4529 0.5000 0.1661
0.5000 0.5000 0.5000
0.5471 0.5000 0.8339
0.8405 0.5000 0.3586
0.0795 0.5000 0.1375
0.9205 0.5000 0.8625
```

Output
ΔE_f	-44	kJ/mol of atoms
volume	338.4	Å³ per cell



[2]
Density functional theory data (PBE) for a relaxed structure of Ac6Tl5Rh.

Cell and atoms, written as POSCAR:
```
Ac6Tl5Rh
1.0
-2.8246 4.2473 8.3674
2.8246 -4.2473 8.3674
2.8246 4.2473 -8.3674
Ac Tl Rh
6 5 1
direct
0.0750 0.3458 0.7292
0.2191 0.0000 0.2191
0.3834 0.6542 0.7292
0.6166 0.3458 0.2708
0.7809 0.0000 0.7809
0.9250 0.6542 0.2708
0.1871 0.1871 0.0000
0.3401 0.8401 0.5000
0.5000 0.5000 0.0000
0.6599 0.1599 0.5000
0.8129 0.8129 0.0000
0.0000 0.5000 0.5000
```

Output
ΔE_f	-36	kJ/mol of atoms
volume	401.5	Å³ per cell



[3]
Density functional theory data (PBE) for a relaxed structure of Ac3Tl4Rh2.

Cell and atoms, written as POSCAR:
```
Ac3Tl4Rh2
1.0
6.4029 -2.1927 0.0000
6.4029 2.1927 0.0000
-4.3993 0.0000 9.2819
Ac Tl Rh
3 4 2
direct
0.0000 0.0000 0.0000
0.3067 0.3067 0.3769
0.6933 0.6933 0.6231
0.0129 0.0129 0.3425
0.2505 0.2505 0.9021
0.7495 0.7495 0.0979
0.9871 0.9871 0.6575
0.3789 0.3789 0.7339
0.6211 0.6211 0.2661
```

Output
ΔE_f	-41	kJ/mol of atoms
volume	260.6	Å³ per cell



[4]
Density functional theory data (PBE) for a relaxed structure of Ac7Tl2Rh2.

Cell and atoms, written as POSCAR:
```
Ac7Tl2Rh2
1.0
-2.3445 8.1849 5.0723
2.3445 -8.1849 5.0723
2.3445 8.1849 -5.0723
Ac Tl Rh
7 2 2
direct
0.0000 0.0000 0.0000
0.2886 0.3929 0.8957
0.2954 0.6220 0.6734
0.4972 0.3929 0.1043
0.5934 0.2114 0.3821
0.8293 0.2114 0.6179
0.9486 0.6220 0.3266
0.1446 0.9129 0.2317
0.6811 0.9129 0.7683
0.2084 0.7084 0.5000
0.6550 0.6550 0.0000
```

Output
ΔE_f	-34	kJ/mol of atoms
volume	389.3	Å³ per cell
relative energy among the computed polymorphs	0	meV per atom



[5]
Density functional theory data (PBE) for a relaxed structure of Ac2Tl2Rh.

Cell and atoms, written as POSCAR:
```
Ac2Tl2Rh
1.0
6.4575 -2.0701 0.0000
6.4575 2.0701 0.0000
-5.5529 0.0000 11.7695
Ac Tl Rh
4 4 2
direct
0.0951 0.0951 0.3728
0.1944 0.1944 0.1161
0.8056 0.8056 0.8839
0.9049 0.9049 0.6272
0.3826 0.3826 0.3895
0.4725 0.4725 0.1270
0.5275 0.5275 0.8730
0.6174 0.6174 0.6105
0.2876 0.2876 0.7085
0.7124 0.7124 0.2915
```

Output
ΔE_f	-45	kJ/mol of atoms
volume	314.7	Å³ per cell



[6]
Density functional theory data (PBE) for a relaxed structure of AcTlRh.

Cell and atoms, written as POSCAR:
```
AcTlRh
1.0
-1.8110 1.8110 5.9327
1.8110 -1.8110 5.9327
1.8110 1.8110 -5.9327
Ac Tl Rh
1 1 1
direct
0.0000 0.0000 0.0000
0.7188 0.7188 0.0000
0.3485 0.3485 0.0000
```

Output
ΔE_f	-27	kJ/mol of atoms
volume	77.8	Å³ per cell
relative energy among the computed polymorphs	260	meV per atom



[7]
Density functional theory data (PBE) for a relaxed structure of Ac6Tl6Rh.

Cell and atoms, written as POSCAR:
```
Ac6Tl6Rh
1.0
3.4774 -6.0158 0.0000
3.4774 6.0158 0.0000
0.0000 0.0000 11.3979
Ac Tl Rh
6 6 1
direct
0.0000 0.0000 0.2371
0.0000 0.0000 0.7629
0.3331 0.6669 0.0000
0.3332 0.6668 0.5000
0.6669 0.3331 0.0000
0.6668 0.3332 0.5000
0.0000 0.5000 0.2559
0.0000 0.5000 0.7441
0.5000 0.0000 0.2559
0.5000 0.0000 0.7441
0.5000 0.5000 0.2558
0.5000 0.5000 0.7442
0.0000 0.0000 0.0000
```

Output
ΔE_f	-16	kJ/mol of atoms
volume	476.9	Å³ per cell



[8]
Density functional theory data (PBE) for a relaxed structure of Ac2Tl3Rh4.

Cell and atoms, written as POSCAR:
```
Ac2Tl3Rh4
1.0
3.0936 -8.9222 0.0000
3.0936 8.9222 0.0000
0.0000 0.0000 7.3504
Ac Tl Rh
4 6 8
direct
0.1034 0.8966 0.9169
0.3966 0.6034 0.4169
0.6034 0.3966 0.5831
0.8966 0.1034 0.0831
0.0000 0.0000 0.5000
0.0156 0.4844 0.7500
0.4844 0.0156 0.2500
0.5000 0.5000 0.0000
0.5156 0.9844 0.7500
0.9844 0.5156 0.2500
0.1609 0.8391 0.5290
0.1730 0.3270 0.7500
0.3270 0.1730 0.2500
0.3391 0.6609 0.0290
0.6609 0.3391 0.9710
0.6730 0.8270 0.7500
0.8270 0.6730 0.2500
0.8391 0.1609 0.4710
```

Output
ΔE_f	-37	kJ/mol of atoms
volume	405.8	Å³ per cell